VASP calculation (PBE-GGA) on an optimized crystal structure of FeCoPb.

```
FeCoPb
1.0
-1.1009 -3.4440 2.1070
0.2076 -3.7447 -1.8566
2.9204 -2.7582 1.1734
Co Fe Pb
1 1 1
direct
0.7500 0.7500 0.7500 Co
0.0000 0.0000 0.0000 Fe
0.5000 0.5000 0.5000 Pb
```

Relative energy among the computed polymorphs: 0.00 eV per formula unit

VASP calculation (PBE-GGA) on an optimized crystal structure of FeCo4Pb.

```
FeCo4Pb
1.0
3.9092 0.3854 2.8120
-0.3780 1.9361 4.4098
0.4462 -2.7980 3.9128
Fe Co Pb
1 4 1
direct
0.7500 0.7500 0.7500 Fe
0.8732 0.3756 0.3756 Co
0.3756 0.3756 0.8732 Co
0.3756 0.8732 0.3756 Co
0.3756 0.3756 0.3756 Co
0.0000 0.0000 0.0000 Pb
```

Raw total energy: -38.685 eV per cell

VASP calculation (PBE-GGA) on an optimized crystal structure of FeCoPb4.

```
FeCoPb4
1.0
-4.5049 -2.1828 3.7909
-5.7798 2.4403 -0.2627
-4.7311 -3.3816 -2.3688
Fe Co Pb
1 1 4
direct
0.0000 0.0000 0.0000 Fe
0.7500 0.7500 0.7500 Co
0.8756 0.3748 0.3748 Pb
0.3748 0.3748 0.8756 Pb
0.3748 0.8756 0.3748 Pb
0.3748 0.3748 0.3748 Pb
```

Raw total energy: -23.527 eV per cell

Question: What is the formula in the third record?
Answer: FeCoPb4

Question: Which formula does entry 2 have?
Answer: FeCo4Pb